1.
First-principles (PBE) data for an optimized crystal structure of Pm3EuFe, as listed in Alexandria.

ΔE_f	0.122	eV per atom
spin magnetization	7.21	Bohr magnetons per cell
electronic total energy	-32.38	eV/f.u.

Lattice parameters (Å, degrees): 5.4589 5.4589 5.4589 90.00 90.00 90.00
Sites, in units of the cell vectors:
Pm: 0.0000 0.0000 0.5000
Pm: 0.0000 0.5000 0.0000
Pm: 0.5000 0.0000 0.0000
Eu: 0.5000 0.5000 0.5000
Fe: 0.0000 0.0000 0.0000

=====

2.
First-principles (PBE) data for an optimized crystal structure of Pr3EuFe, as listed in Alexandria.

ΔE_f	0.150	eV per atom
spin magnetization	7.27	Bohr magnetons per cell
electronic total energy	-32.32	eV/f.u.

Lattice parameters (Å, degrees): 5.5233 5.5233 5.5233 90.00 90.00 90.00
Sites, in units of the cell vectors:
Pr: 0.0000 0.0000 0.5000
Pr: 0.0000 0.5000 0.0000
Pr: 0.5000 0.0000 0.0000
Eu: 0.5000 0.5000 0.5000
Fe: 0.0000 0.0000 0.0000